(1)
The following is a PBE-GGA calculation of a relaxed structure of TbCeNdPb, from the Alexandria database.

Unit cell a=7.800 b=7.800 c=7.800 alpha=90.00 beta=90.00 gamma=90.00
Space group F-43m (No. 216)
One atom of each set of equivalent atoms:
Tb  0.000  0.000  0.000
Ce  0.250  0.250  0.250
Nd  0.000  0.000  0.500
Pb  0.250  0.250  0.750

Calculated values
D(E_F) (states/eV/f.u.): 8.3
Total DFT energy (no corrections) (eV for the cell shown): -77.4


(2)
The following is a PBE-GGA calculation of a relaxed structure of Li2LaUO6, from the Alexandria database.

Unit cell a=5.659 b=5.700 c=9.921 alpha=90.00 beta=123.94 gamma=90.00
Space group P2_1/c (No. 14)
One atom of each set of equivalent atoms:
Li  0.207  0.011  0.238
La  0.000  0.000  0.500
U  0.500  0.000  0.000
O  0.145  0.114  0.773
O  0.239  0.637  0.563
O  0.465  0.184  0.587

Calculated values
D(E_F) (states/eV/f.u.): 8.8
Uncorrected formation energy (meV/atom): -2658


(3)
The following is a PBE-GGA calculation of a relaxed structure of LiMnZn14, from the Alexandria database.

Unit cell a=5.589 b=5.589 c=7.511 alpha=90.00 beta=90.00 gamma=90.00
Space group P4/mmm (No. 123)
One atom of each set of equivalent atoms:
Li  0.000  0.000  0.000
Mn  0.500  0.500  0.000
Zn  0.000  0.000  0.500
Zn  0.000  0.500  0.000
Zn  0.000  0.500  0.500
Zn  0.251  0.251  0.250
Zn  0.500  0.500  0.500

Calculated values
D(E_F) (states/eV/f.u.): 4.1
Total DFT energy (no corrections) (eV for the cell shown): -29.3